# 1
First-principles (PBE) data for a relaxed BaZnBiSe2 crystal, as listed in the Alexandria database.

Cell lengths 5.776, 5.197, 5.776 Å; angles 90.00, 90.00, 90.00 degrees
Positions (direct):
Ba 0.500 0.500 0.500
Zn 0.000 0.500 0.000
Se 0.000 0.000 0.500
Bi 0.000 0.000 0.000
Se 0.500 0.000 0.000

Values from the calculation:
V = 173.4 Å³ per cell
ΔE_f (raw) = -0.55 eV per atom
spin magnetization = 0.00 μB/cell


# 2
First-principles (PBE) data for a relaxed Ba2ZnBiSe5 crystal, as listed in the Alexandria database.

Cell lengths 4.334, 9.679, 13.369 Å; angles 90.00, 90.00, 102.94 degrees
Positions (direct):
Bi 0.798 0.596 0.531
Se 0.291 0.581 0.678
Ba 0.127 0.253 0.333
Se 0.508 0.016 0.261
Ba 0.113 0.226 0.692
Se 0.348 0.697 0.015
Se 0.969 0.938 0.514
Ba 0.873 0.747 0.833
Zn 0.446 0.893 0.424
Se 0.031 0.062 0.014
Se 0.314 0.629 0.376
Zn 0.554 0.107 0.924
Ba 0.887 0.774 0.192
Se 0.709 0.419 0.178
Se 0.492 0.984 0.761
Se 0.686 0.371 0.876
Se 0.652 0.303 0.515
Bi 0.202 0.404 0.031

Values from the calculation:
V = 546.6 Å³ per cell
ΔE_f (raw) = -1.12 eV per atom
spin magnetization = 0.00 μB/cell


# 3
First-principles (PBE) data for a relaxed Ba2ZrBiSe crystal, as listed in the Alexandria database.

Cell lengths 6.516, 6.516, 4.993 Å; angles 90.00, 90.00, 90.00 degrees
Positions (direct):
Se 0.000 0.000 0.500
Ba 0.500 0.000 0.000
Bi 0.500 0.500 0.500
Zr 0.000 0.000 0.000
Ba 0.000 0.500 0.000

Values from the calculation:
V = 212.0 Å³ per cell
ΔE_f (raw) = -0.16 eV per atom
spin magnetization = 0.05 μB/cell


# 4
First-principles (PBE) data for a relaxed BaSiBi2 crystal, as listed in the Alexandria database.

Cell lengths 8.352, 8.352, 7.243 Å; angles 54.79, 54.79, 90.00 degrees
Positions (direct):
Bi 0.875 0.788 0.750
Bi 0.538 0.125 0.250
Bi 0.375 0.462 0.750
Si 0.500 0.500 0.000
Bi 0.212 0.625 0.250
Ba 0.000 0.000 0.000
Si 0.250 0.750 0.500
Ba 0.750 0.250 0.500

Values from the calculation:
V = 292.5 Å³ per cell
ΔE_f (raw) = -0.22 eV per atom
spin magnetization = 0.00 μB/cell


# 5
First-principles (PBE) data for a relaxed Ba3SiBi crystal, as listed in the Alexandria database.

Cell lengths 6.216, 6.216, 6.216 Å; angles 90.00, 90.00, 90.00 degrees
Positions (direct):
Ba 0.000 0.500 0.000
Bi 0.500 0.500 0.500
Ba 0.500 0.000 0.000
Ba 0.000 0.000 0.500
Si 0.000 0.000 0.000

Values from the calculation:
V = 240.1 Å³ per cell
ΔE_f (raw) = -0.34 eV per atom
spin magnetization = 0.00 μB/cell
distance to the lowest polymorph of the same formula = 100 kJ/mol of formula units


# 6
First-principles (PBE) data for a relaxed BaSi2Bi2 crystal, as listed in the Alexandria database.

Cell lengths 8.114, 8.114, 4.824 Å; angles 90.00, 90.00, 90.00 degrees
Positions (direct):
Bi 0.635 0.865 0.500
Bi 0.865 0.365 0.500
Ba 0.000 0.000 0.000
Bi 0.135 0.635 0.500
Si 0.399 0.899 0.000
Ba 0.500 0.500 0.000
Si 0.101 0.399 0.000
Bi 0.365 0.135 0.500
Si 0.899 0.601 0.000
Si 0.601 0.101 0.000

Values from the calculation:
V = 317.6 Å³ per cell
ΔE_f (raw) = 0.02 eV per atom
spin magnetization = 0.00 μB/cell
distance to the lowest polymorph of the same formula = 21 kJ/mol of formula units


# 7
First-principles (PBE) data for a relaxed Ba2SiBi2 crystal, as listed in the Alexandria database.

Cell lengths 8.245, 8.245, 5.336 Å; angles 90.00, 90.00, 90.00 degrees
Positions (direct):
Ba 0.323 0.177 0.500
Bi 0.133 0.367 0.000
Bi 0.867 0.633 0.000
Si 0.500 0.500 0.000
Ba 0.823 0.323 0.500
Bi 0.367 0.867 0.000
Ba 0.677 0.823 0.500
Ba 0.177 0.677 0.500
Bi 0.633 0.133 0.000
Si 0.000 0.000 0.000

Values from the calculation:
V = 362.7 Å³ per cell
ΔE_f (raw) = -0.41 eV per atom
spin magnetization = 0.00 μB/cell


# 8
First-principles (PBE) data for a relaxed Ba2SiBi crystal, as listed in the Alexandria database.

Cell lengths 9.919, 9.134, 9.447 Å; angles 111.24, 90.00, 90.00 degrees
Positions (direct):
Si 0.560 0.484 0.392
Ba 0.834 0.593 0.243
Ba 0.334 0.907 0.757
Bi 0.431 0.191 0.547
Bi 0.569 0.809 0.453
Bi 0.931 0.309 0.453
Si 0.940 0.984 0.392
Ba 0.750 0.143 0.712
Ba 0.250 0.357 0.288
Si 0.440 0.516 0.608
Ba 0.250 0.857 0.288
Ba 0.666 0.093 0.243
Si 0.060 0.016 0.608
Bi 0.069 0.691 0.547
Ba 0.166 0.407 0.757
Ba 0.750 0.643 0.712

Values from the calculation:
V = 797.8 Å³ per cell
ΔE_f (raw) = -0.31 eV per atom
spin magnetization = 1.01 μB/cell
distance to the lowest polymorph of the same formula = 10 kJ/mol of formula units


# 9
First-principles (PBE) data for a relaxed Ba3SiBi crystal, as listed in the Alexandria database.

Cell lengths 4.544, 7.293, 13.096 Å; angles 96.48, 99.99, 90.00 degrees
Positions (direct):
Ba 0.000 0.269 0.001
Si 0.238 0.078 0.476
Bi 0.411 0.463 0.823
Ba 0.361 0.941 0.722
Ba 0.639 0.059 0.278
Ba 0.191 0.620 0.382
Ba 0.809 0.380 0.618
Si 0.762 0.922 0.524
Ba 0.000 0.731 0.999
Bi 0.589 0.537 0.177

Values from the calculation:
V = 424.7 Å³ per cell
ΔE_f (raw) = -0.52 eV per atom
spin magnetization = 1.58 μB/cell
distance to the lowest polymorph of the same formula = 12 kJ/mol of formula units